P:
First-principles (GGA-PBE) data for SrCaW2 after structural relaxation, as listed in Alexandria.

```
data_SrCaW2
_symmetry_space_group_name_H-M 'P 1'
_symmetry_Int_Tables_number 1
_symmetry_space_group_name_Hall 'P 1'
_cell_length_a 3.878
_cell_length_b 4.162
_cell_length_c 10.755
_cell_angle_alpha 90.00
_cell_angle_beta 90.00
_cell_angle_gamma 90.00
loop_
_atom_site_label
_atom_site_fract_x
_atom_site_fract_y
_atom_site_fract_z
_atom_site_occupancy
Sr1 0.000 0.000 0.000 1
Sr2 0.500 0.500 0.500 1
Ca1 0.000 0.000 0.500 1
Ca2 0.500 0.500 0.000 1
W1 0.000 0.500 0.249 1
W2 0.000 0.500 0.751 1
W3 0.500 0.000 0.251 1
W4 0.500 0.000 0.749 1
```

Summary:
Its density of states at the Fermi level is 2.94 states/eV/f.u.

***

Q:
First-principles (GGA-PBE) data for SrCaW2 after structural relaxation, as listed in Alexandria.

```
data_SrCaW2
_symmetry_space_group_name_H-M 'P 1'
_symmetry_Int_Tables_number 1
_symmetry_space_group_name_Hall 'P 1'
_cell_length_a 8.551
_cell_length_b 3.252
_cell_length_c 8.262
_cell_angle_alpha 90.00
_cell_angle_beta 94.28
_cell_angle_gamma 90.00
loop_
_atom_site_label
_atom_site_fract_x
_atom_site_fract_y
_atom_site_fract_z
_atom_site_occupancy
Sr1 0.000 0.000 0.000 1
Sr2 0.500 0.500 0.000 1
Ca1 0.277 0.500 0.400 1
Ca2 0.777 0.000 0.400 1
W1 0.025 0.500 0.638 1
W2 0.246 0.000 0.735 1
W3 0.525 0.000 0.638 1
W4 0.746 0.500 0.735 1
```

Summary:
Its density of states at the Fermi level is 3.58 states/eV/f.u.

***

R:
First-principles (GGA-PBE) data for SrCaW2 after structural relaxation, as listed in Alexandria.

```
data_SrCaW2
_symmetry_space_group_name_H-M 'P 1'
_symmetry_Int_Tables_number 1
_symmetry_space_group_name_Hall 'P 1'
_cell_length_a 3.023
_cell_length_b 3.023
_cell_length_c 33.104
_cell_angle_alpha 90.00
_cell_angle_beta 90.00
_cell_angle_gamma 120.00
loop_
_atom_site_label
_atom_site_fract_x
_atom_site_fract_y
_atom_site_fract_z
_atom_site_occupancy
Sr1 0.000 0.000 0.000 1
Sr2 0.333 0.667 0.667 1
Sr3 0.667 0.333 0.333 1
Ca1 0.000 0.000 0.500 1
Ca2 0.333 0.667 0.167 1
Ca3 0.667 0.333 0.833 1
W1 0.000 0.000 0.247 1
W2 0.000 0.000 0.753 1
W3 0.333 0.667 0.419 1
W4 0.333 0.667 0.914 1
W5 0.667 0.333 0.086 1
W6 0.667 0.333 0.581 1
```

Summary:
Its density of states at the Fermi level is 3.24 states/eV/f.u.

***

S:
First-principles (GGA-PBE) data for SrCaW2 after structural relaxation, as listed in Alexandria.

```
data_SrCaW2
_symmetry_space_group_name_H-M 'P 1'
_symmetry_Int_Tables_number 1
_symmetry_space_group_name_Hall 'P 1'
_cell_length_a 8.512
_cell_length_b 8.512
_cell_length_c 5.446
_cell_angle_alpha 90.00
_cell_angle_beta 90.00
_cell_angle_gamma 90.00
loop_
_atom_site_label
_atom_site_fract_x
_atom_site_fract_y
_atom_site_fract_z
_atom_site_occupancy
Sr1 0.000 0.000 0.000 1
Sr2 0.000 0.500 0.250 1
Sr3 0.500 0.000 0.750 1
Sr4 0.500 0.500 0.500 1
Ca1 0.000 0.000 0.500 1
Ca2 0.000 0.500 0.750 1
Ca3 0.500 0.000 0.250 1
Ca4 0.500 0.500 0.000 1
W1 0.241 0.250 0.625 1
W2 0.250 0.741 0.875 1
W3 0.250 0.759 0.375 1
W4 0.259 0.250 0.125 1
W5 0.741 0.750 0.125 1
W6 0.750 0.241 0.375 1
W7 0.750 0.259 0.875 1
W8 0.759 0.750 0.625 1
```

Summary:
Its density of states at the Fermi level is 5.78 states/eV/f.u.

***

Q comes first in stability; the runner-up is 36.9 kJ/mol of atoms higher.

***

P:
First-principles (GGA-PBE) data for SrCaW2 after structural relaxation, as listed in Alexandria.

```
data_SrCaW2
_symmetry_space_group_name_H-M 'P 1'
_symmetry_Int_Tables_number 1
_symmetry_space_group_name_Hall 'P 1'
_cell_length_a 5.685
_cell_length_b 10.682
_cell_length_c 2.861
_cell_angle_alpha 90.00
_cell_angle_beta 90.00
_cell_angle_gamma 90.00
loop_
_atom_site_label
_atom_site_fract_x
_atom_site_fract_y
_atom_site_fract_z
_atom_site_occupancy
Sr1 0.000 0.000 0.000 1
Sr2 0.500 0.500 0.000 1
Ca1 0.000 0.500 0.000 1
Ca2 0.500 0.000 0.000 1
W1 0.250 0.250 0.500 1
W2 0.250 0.750 0.500 1
W3 0.750 0.250 0.500 1
W4 0.750 0.750 0.500 1
```

Summary:
Its density of states at the Fermi level is 3.84 states/eV/f.u.

***

Q:
First-principles (GGA-PBE) data for SrCaW2 after structural relaxation, as listed in Alexandria.

```
data_SrCaW2
_symmetry_space_group_name_H-M 'P 1'
_symmetry_Int_Tables_number 1
_symmetry_space_group_name_Hall 'P 1'
_cell_length_a 11.202
_cell_length_b 3.743
_cell_length_c 6.345
_cell_angle_alpha 90.00
_cell_angle_beta 117.44
_cell_angle_gamma 90.00
loop_
_atom_site_label
_atom_site_fract_x
_atom_site_fract_y
_atom_site_fract_z
_atom_site_occupancy
Sr1 0.000 0.000 0.000 1
Sr2 0.500 0.500 0.000 1
Ca1 0.000 0.500 0.500 1
Ca2 0.500 0.000 0.500 1
W1 0.248 0.000 0.624 1
W2 0.252 0.500 0.376 1
W3 0.748 0.500 0.624 1
W4 0.752 0.000 0.376 1
```

Summary:
Its density of states at the Fermi level is 3.54 states/eV/f.u.

***

R:
First-principles (GGA-PBE) data for SrCaW2 after structural relaxation, as listed in Alexandria.

```
data_SrCaW2
_symmetry_space_group_name_H-M 'P 1'
_symmetry_Int_Tables_number 1
_symmetry_space_group_name_Hall 'P 1'
_cell_length_a 7.605
_cell_length_b 4.401
_cell_length_c 7.654
_cell_angle_alpha 90.00
_cell_angle_beta 109.40
_cell_angle_gamma 90.00
loop_
_atom_site_label
_atom_site_fract_x
_atom_site_fract_y
_atom_site_fract_z
_atom_site_occupancy
Sr1 0.000 0.000 0.000 1
Sr2 0.500 0.500 0.000 1
Ca1 0.307 0.500 0.423 1
Ca2 0.807 0.000 0.423 1
W1 0.064 0.500 0.691 1
W2 0.229 0.000 0.688 1
W3 0.564 0.000 0.691 1
W4 0.729 0.500 0.688 1
```

Summary:
Its density of states at the Fermi level is 2.90 states/eV/f.u.

***

R comes first in stability; the runner-up is 32.8 kJ/mol of atoms higher.

***

P:
First-principles (GGA-PBE) data for SrCa2W2 after structural relaxation, as listed in Alexandria.

```
data_SrCa2W2
_symmetry_space_group_name_H-M 'P 1'
_symmetry_Int_Tables_number 1
_symmetry_space_group_name_Hall 'P 1'
_cell_length_a 9.125
_cell_length_b 9.125
_cell_length_c 3.164
_cell_angle_alpha 90.00
_cell_angle_beta 90.00
_cell_angle_gamma 90.00
loop_
_atom_site_label
_atom_site_fract_x
_atom_site_fract_y
_atom_site_fract_z
_atom_site_occupancy
Sr1 0.000 0.000 0.000 1
Sr2 0.500 0.500 0.000 1
Ca1 0.195 0.305 0.000 1
Ca2 0.305 0.805 0.000 1
Ca3 0.695 0.195 0.000 1
Ca4 0.805 0.695 0.000 1
W1 0.091 0.591 0.500 1
W2 0.409 0.091 0.500 1
W3 0.591 0.909 0.500 1
W4 0.909 0.409 0.500 1
```

Summary:
Its density of states at the Fermi level is 5.95 states/eV/f.u.

***

Q:
First-principles (GGA-PBE) data for SrCa2W2 after structural relaxation, as listed in Alexandria.

```
data_SrCa2W2
_symmetry_space_group_name_H-M 'P 1'
_symmetry_Int_Tables_number 1
_symmetry_space_group_name_Hall 'P 1'
_cell_length_a 9.082
_cell_length_b 9.082
_cell_length_c 3.299
_cell_angle_alpha 90.00
_cell_angle_beta 90.00
_cell_angle_gamma 90.00
loop_
_atom_site_label
_atom_site_fract_x
_atom_site_fract_y
_atom_site_fract_z
_atom_site_occupancy
Sr1 0.000 0.000 0.000 1
Sr2 0.500 0.500 0.000 1
Ca1 0.193 0.307 0.500 1
Ca2 0.307 0.807 0.500 1
Ca3 0.693 0.193 0.500 1
Ca4 0.807 0.693 0.500 1
W1 0.091 0.591 0.000 1
W2 0.409 0.091 0.000 1
W3 0.591 0.909 0.000 1
W4 0.909 0.409 0.000 1
```

Summary:
Its density of states at the Fermi level is 9.16 states/eV/f.u.

***

R:
First-principles (GGA-PBE) data for SrCa2W2 after structural relaxation, as listed in Alexandria.

```
data_SrCa2W2
_symmetry_space_group_name_H-M 'P 1'
_symmetry_Int_Tables_number 1
_symmetry_space_group_name_Hall 'P 1'
_cell_length_a 4.919
_cell_length_b 4.919
_cell_length_c 13.247
_cell_angle_alpha 90.00
_cell_angle_beta 90.00
_cell_angle_gamma 90.00
loop_
_atom_site_label
_atom_site_fract_x
_atom_site_fract_y
_atom_site_fract_z
_atom_site_occupancy
Sr1 0.000 0.000 0.000 1
Sr2 0.500 0.500 0.500 1
Ca1 0.000 0.500 0.250 1
Ca2 0.000 0.500 0.750 1
Ca3 0.500 0.000 0.250 1
Ca4 0.500 0.000 0.750 1
W1 0.000 0.000 0.418 1
W2 0.000 0.000 0.582 1
W3 0.500 0.500 0.082 1
W4 0.500 0.500 0.918 1
```

Summary:
Its density of states at the Fermi level is 5.59 states/eV/f.u.

***

Q comes first in stability; the runner-up is 3.4 kJ/mol of atoms higher.

***

P:
First-principles (GGA-PBE) data for Sr2CaY after structural relaxation, as listed in Alexandria.

```
data_Sr2CaY
_symmetry_space_group_name_H-M 'P 1'
_symmetry_Int_Tables_number 1
_symmetry_space_group_name_Hall 'P 1'
_cell_length_a 4.160
_cell_length_b 4.160
_cell_length_c 10.179
_cell_angle_alpha 90.00
_cell_angle_beta 90.00
_cell_angle_gamma 90.00
loop_
_atom_site_label
_atom_site_fract_x
_atom_site_fract_y
_atom_site_fract_z
_atom_site_occupancy
Sr1 0.000 0.000 0.000 1
Sr2 0.500 0.500 0.300 1
Ca1 0.500 0.500 0.740 1
Y1 0.000 0.000 0.540 1
```

Summary:
Its density of states at the Fermi level is 5.47 states/eV/f.u.

***

Q:
First-principles (GGA-PBE) data for Sr2CaY after structural relaxation, as listed in Alexandria.

```
data_Sr2CaY
_symmetry_space_group_name_H-M 'P 1'
_symmetry_Int_Tables_number 1
_symmetry_space_group_name_Hall 'P 1'
_cell_length_a 5.622
_cell_length_b 5.622
_cell_length_c 11.228
_cell_angle_alpha 90.00
_cell_angle_beta 90.00
_cell_angle_gamma 90.00
loop_
_atom_site_label
_atom_site_fract_x
_atom_site_fract_y
_atom_site_fract_z
_atom_site_occupancy
Sr1 0.000 0.500 0.250 1
Sr2 0.000 0.500 0.750 1
Sr3 0.500 0.000 0.250 1
Sr4 0.500 0.000 0.750 1
Ca1 0.000 0.000 0.000 1
Ca2 0.500 0.500 0.500 1
Y1 0.000 0.000 0.500 1
Y2 0.500 0.500 0.000 1
```

Summary:
Its density of states at the Fermi level is 7.49 states/eV/f.u.

***

P comes first in stability; the runner-up is 7.3 kJ/mol of atoms higher.

***

P:
First-principles (GGA-PBE) data for Sr2CaY after structural relaxation, as listed in Alexandria.

```
data_Sr2CaY
_symmetry_space_group_name_H-M 'P 1'
_symmetry_Int_Tables_number 1
_symmetry_space_group_name_Hall 'P 1'
_cell_length_a 3.793
_cell_length_b 6.196
_cell_length_c 7.499
_cell_angle_alpha 90.00
_cell_angle_beta 101.57
_cell_angle_gamma 90.00
loop_
_atom_site_label
_atom_site_fract_x
_atom_site_fract_y
_atom_site_fract_z
_atom_site_occupancy
Sr1 0.242 0.000 0.258 1
Sr2 0.758 0.000 0.742 1
Ca1 0.500 0.500 0.000 1
Y1 0.000 0.500 0.500 1
```

Summary:
Its density of states at the Fermi level is 5.11 states/eV/f.u.

***

Q:
First-principles (GGA-PBE) data for Sr2CaY after structural relaxation, as listed in Alexandria.

```
data_Sr2CaY
_symmetry_space_group_name_H-M 'P 1'
_symmetry_Int_Tables_number 1
_symmetry_space_group_name_Hall 'P 1'
_cell_length_a 5.613
_cell_length_b 5.613
_cell_length_c 5.643
_cell_angle_alpha 90.00
_cell_angle_beta 90.00
_cell_angle_gamma 90.00
loop_
_atom_site_label
_atom_site_fract_x
_atom_site_fract_y
_atom_site_fract_z
_atom_site_occupancy
Sr1 0.000 0.500 0.000 1
Sr2 0.500 0.000 0.000 1
Ca1 0.000 0.000 0.500 1
Y1 0.500 0.500 0.500 1
```

Summary:
Its density of states at the Fermi level is 7.42 states/eV/f.u.

***

R:
First-principles (GGA-PBE) data for Sr2CaY after structural relaxation, as listed in Alexandria.

```
data_Sr2CaY
_symmetry_space_group_name_H-M 'P 1'
_symmetry_Int_Tables_number 1
_symmetry_space_group_name_Hall 'P 1'
_cell_length_a 4.376
_cell_length_b 6.277
_cell_length_c 12.649
_cell_angle_alpha 90.00
_cell_angle_beta 90.00
_cell_angle_gamma 90.00
loop_
_atom_site_label
_atom_site_fract_x
_atom_site_fract_y
_atom_site_fract_z
_atom_site_occupancy
Sr1 0.000 0.000 0.239 1
Sr2 0.000 0.000 0.761 1
Sr3 0.500 0.500 0.239 1
Sr4 0.500 0.500 0.761 1
Ca1 0.000 0.500 0.500 1
Ca2 0.500 0.000 0.500 1
Y1 0.000 0.500 0.000 1
Y2 0.500 0.000 0.000 1
```

Summary:
Its density of states at the Fermi level is 5.57 states/eV/f.u.

***

R comes first in stability; the runner-up is 1.8 kJ/mol of atoms higher.